No. 1
! TbLu2As, relaxed, DFT PBE; values from VASP
! - symmetry = R-3m (166)
! - DFT formation energy (eV per atom) = -0.558
&SYSTEM
  ibrav = 0, nat = 12, ntyp = 3
/
ATOMIC_SPECIES
Tb 158.93 Tb.upf
Lu 174.97 Lu.upf
As 74.92 As.upf
CELL_PARAMETERS angstrom
3.770 0.000 0.000
-1.885 3.265 0.000
0.000 0.000 27.928
ATOMIC_POSITIONS crystal
Tb 0.000 0.000 0.000
Tb 0.333 0.667 0.667
Tb 0.667 0.333 0.333
Lu 0.000 0.000 0.228
Lu 0.000 0.000 0.772
Lu 0.333 0.667 0.439
Lu 0.333 0.667 0.895
Lu 0.667 0.333 0.105
Lu 0.667 0.333 0.561
As 0.000 0.000 0.500
As 0.333 0.667 0.167
As 0.667 0.333 0.833

=====

No. 2
! DySc2P3, relaxed, DFT PBE; values from VASP
! - symmetry = Immm (71)
! - DFT formation energy (eV per atom) = -1.507
&SYSTEM
  ibrav = 0, nat = 12, ntyp = 3
/
ATOMIC_SPECIES
Dy 162.50 Dy.upf
Sc 44.96 Sc.upf
P 30.97 P.upf
CELL_PARAMETERS angstrom
3.843 0.000 0.000
0.000 5.458 0.000
0.000 0.000 11.509
ATOMIC_POSITIONS crystal
Dy 0.000 0.000 0.000
Dy 0.500 0.500 0.500
Sc 0.000 0.000 0.335
Sc 0.000 0.000 0.665
Sc 0.500 0.500 0.165
Sc 0.500 0.500 0.835
P 0.000 0.500 0.000
P 0.000 0.500 0.325
P 0.000 0.500 0.675
P 0.500 0.000 0.175
P 0.500 0.000 0.500
P 0.500 0.000 0.825

=====

No. 3
! AcLaCu10, relaxed, DFT PBE; values from VASP
! - symmetry = Pmmm (47)
! - DFT formation energy (eV per atom) = -0.133
&SYSTEM
  ibrav = 0, nat = 12, ntyp = 3
/
ATOMIC_SPECIES
Ac 227.00 Ac.upf
La 138.91 La.upf
Cu 63.55 Cu.upf
CELL_PARAMETERS angstrom
4.113 0.000 0.000
0.000 5.276 0.000
0.000 0.000 9.052
ATOMIC_POSITIONS crystal
Ac 0.000 0.000 0.000
La 0.000 0.500 0.500
Cu 0.000 0.000 0.339
Cu 0.000 0.000 0.661
Cu 0.000 0.500 0.171
Cu 0.000 0.500 0.829
Cu 0.500 0.000 0.500
Cu 0.500 0.252 0.254
Cu 0.500 0.252 0.746
Cu 0.500 0.500 0.000
Cu 0.500 0.748 0.254
Cu 0.500 0.748 0.746

=====

No. 4
! SrTc2Rh2, relaxed, DFT PBE; values from VASP
! - symmetry = I4/mmm (139)
! - DFT formation energy (eV per atom) = 0.210
&SYSTEM
  ibrav = 0, nat = 10, ntyp = 3
/
ATOMIC_SPECIES
Sr 87.62 Sr.upf
Tc 98.00 Tc.upf
Rh 102.91 Rh.upf
CELL_PARAMETERS angstrom
4.373 0.000 0.000
0.000 4.373 0.000
0.000 0.000 10.168
ATOMIC_POSITIONS crystal
Sr 0.000 0.000 0.000
Sr 0.500 0.500 0.500
Tc 0.000 0.000 0.389
Tc 0.000 0.000 0.611
Tc 0.500 0.500 0.111
Tc 0.500 0.500 0.889
Rh 0.000 0.500 0.250
Rh 0.000 0.500 0.750
Rh 0.500 0.000 0.250
Rh 0.500 0.000 0.750

=====

No. 5
! CaSc2In9, relaxed, DFT PBE; values from VASP
! - symmetry = P4/mmm (123)
! - DFT formation energy (eV per atom) = -0.311
&SYSTEM
  ibrav = 0, nat = 12, ntyp = 3
/
ATOMIC_SPECIES
Ca 40.08 Ca.upf
Sc 44.96 Sc.upf
In 114.82 In.upf
CELL_PARAMETERS angstrom
4.589 0.000 0.000
0.000 4.589 0.000
0.000 0.000 13.777
ATOMIC_POSITIONS crystal
Ca 0.000 0.000 0.000
Sc 0.000 0.000 0.340
Sc 0.000 0.000 0.660
In 0.000 0.500 0.174
In 0.000 0.500 0.500
In 0.000 0.500 0.826
In 0.500 0.000 0.174
In 0.500 0.000 0.500
In 0.500 0.000 0.826
In 0.500 0.500 0.000
In 0.500 0.500 0.336
In 0.500 0.500 0.664

=====

No. 6
! ReAs6Ru, relaxed, DFT PBE; values from VASP
! - symmetry = C2/m (12)
! - DFT formation energy (eV per atom) = -0.027
&SYSTEM
  ibrav = 0, nat = 16, ntyp = 3
/
ATOMIC_SPECIES
Re 186.21 Re.upf
As 74.92 As.upf
Ru 101.07 Ru.upf
CELL_PARAMETERS angstrom
6.101 -4.333 0.000
6.101 4.333 0.000
-6.094 0.000 6.119
ATOMIC_POSITIONS crystal
Re 0.000 0.500 0.000
Re 0.500 0.000 0.000
As 0.145 0.852 0.653
As 0.148 0.855 0.347
As 0.199 0.506 0.851
As 0.343 0.343 0.492
As 0.348 0.348 0.202
As 0.494 0.801 0.149
As 0.506 0.199 0.851
As 0.652 0.652 0.798
As 0.657 0.657 0.508
As 0.801 0.494 0.149
As 0.852 0.145 0.653
As 0.855 0.148 0.347
Ru 0.000 0.500 0.500
Ru 0.500 0.000 0.500

=====

No. 7
! Ba4PdI, relaxed, DFT PBE; values from VASP
! - symmetry = C2/c (15)
! - formation energy from raw total energies (meV per atom) = -609
&SYSTEM
  ibrav = 0, nat = 12, ntyp = 3
/
ATOMIC_SPECIES
Ba 137.33 Ba.upf
Pd 106.42 Pd.upf
I 126.90 I.upf
CELL_PARAMETERS angstrom
5.395 -9.822 0.000
5.395 9.822 0.000
-4.999 0.000 5.787
ATOMIC_POSITIONS crystal
Ba 0.027 0.633 0.838
Ba 0.242 0.402 0.850
Ba 0.367 0.973 0.662
Ba 0.402 0.242 0.350
Ba 0.598 0.758 0.650
Ba 0.633 0.027 0.338
Ba 0.758 0.598 0.150
Ba 0.973 0.367 0.162
Pd 0.308 0.692 0.250
Pd 0.692 0.308 0.750
I 0.039 0.961 0.750
I 0.961 0.039 0.250

=====

No. 8
! Sr4SmMg5, relaxed, DFT PBE; values from VASP
! - symmetry = P4/mmm (123)
! - DFT formation energy (eV per atom) = -0.054
&SYSTEM
  ibrav = 0, nat = 10, ntyp = 3
/
ATOMIC_SPECIES
Sr 87.62 Sr.upf
Sm 150.36 Sm.upf
Mg 24.30 Mg.upf
CELL_PARAMETERS angstrom
4.077 0.000 0.000
0.000 4.077 0.000
0.000 0.000 20.920
ATOMIC_POSITIONS crystal
Sr 0.000 0.000 0.104
Sr 0.000 0.000 0.311
Sr 0.000 0.000 0.689
Sr 0.000 0.000 0.896
Sm 0.000 0.000 0.500
Mg 0.500 0.500 0.000
Mg 0.500 0.500 0.207
Mg 0.500 0.500 0.417
Mg 0.500 0.500 0.583
Mg 0.500 0.500 0.793

=====

No. 9
! PbAuI2N, relaxed, DFT PBE; values from VASP
! - symmetry = P4/mmm (123)
! - ΔE to the lowest computed polymorph (meV per atom) = 0
! - formation energy from raw total energies (meV per atom) = 610
&SYSTEM
  ibrav = 0, nat = 5, ntyp = 4
/
ATOMIC_SPECIES
Pb 207.20 Pb.upf
Au 196.97 Au.upf
I 126.90 I.upf
N 14.01 N.upf
CELL_PARAMETERS angstrom
6.256 0.000 0.000
0.000 6.256 0.000
0.000 0.000 3.818
ATOMIC_POSITIONS crystal
Pb 0.000 0.000 0.000
Au 0.500 0.500 0.500
I 0.000 0.500 0.500
I 0.500 0.000 0.500
N 0.500 0.500 0.000

=====

No. 10
! Er8Cd, relaxed, DFT PBE; values from VASP
! - symmetry = I4/mmm (139)
! - DFT formation energy (eV per atom) = -0.009
&SYSTEM
  ibrav = 0, nat = 9, ntyp = 2
/
ATOMIC_SPECIES
Er 167.26 Er.upf
Cd 112.41 Cd.upf
CELL_PARAMETERS angstrom
-5.191 5.191 2.457
5.191 -5.191 2.457
5.191 5.191 -2.457
ATOMIC_POSITIONS crystal
Er 0.000 0.333 0.333
Er 0.000 0.667 0.667
Er 0.333 0.000 0.333
Er 0.335 0.335 0.670
Er 0.335 0.665 0.000
Er 0.665 0.335 0.000
Er 0.665 0.665 0.330
Er 0.667 0.000 0.667
Cd 0.000 0.000 0.000

=====

No. 11
! MgGeRhI2, relaxed, DFT PBE; values from VASP
! - symmetry = P4/mmm (123)
! - formation energy from raw total energies (meV per atom) = 758
&SYSTEM
  ibrav = 0, nat = 5, ntyp = 4
/
ATOMIC_SPECIES
Mg 24.30 Mg.upf
Ge 72.64 Ge.upf
Rh 102.91 Rh.upf
I 126.90 I.upf
CELL_PARAMETERS angstrom
5.718 0.000 0.000
0.000 5.718 0.000
0.000 0.000 5.036
ATOMIC_POSITIONS crystal
Mg 0.000 0.000 0.000
Ge 0.000 0.000 0.500
Rh 0.500 0.500 0.000
I 0.000 0.500 0.500
I 0.500 0.000 0.500

=====

No. 12
! KPaCuTe3, relaxed, DFT PBE; values from VASP
! - symmetry = Cmcm (63)
! - formation energy from raw total energies (meV per atom) = -801
&SYSTEM
  ibrav = 0, nat = 12, ntyp = 4
/
ATOMIC_SPECIES
K 39.10 K.upf
Pa 231.04 Pa.upf
Cu 63.55 Cu.upf
Te 127.60 Te.upf
CELL_PARAMETERS angstrom
2.158 -8.055 0.000
2.158 8.055 0.000
0.000 0.000 11.404
ATOMIC_POSITIONS crystal
K 0.250 0.750 0.750
K 0.750 0.250 0.250
Pa 0.000 0.000 0.000
Pa 0.000 0.000 0.500
Cu 0.472 0.528 0.250
Cu 0.528 0.472 0.750
Te 0.071 0.929 0.250
Te 0.372 0.628 0.067
Te 0.372 0.628 0.433
Te 0.628 0.372 0.567
Te 0.628 0.372 0.933
Te 0.929 0.071 0.750

=====

No. 13
! MnNiPd, relaxed, DFT PBE; values from VASP
! - symmetry = P3m1 (156)
! - ΔE to the lowest computed polymorph (meV per atom) = 76
! - DFT formation energy (eV per atom) = 0.005
&SYSTEM
  ibrav = 0, nat = 3, ntyp = 3
/
ATOMIC_SPECIES
Mn 54.94 Mn.upf
Ni 58.69 Ni.upf
Pd 106.42 Pd.upf
CELL_PARAMETERS angstrom
4.178 0.000 0.000
-2.089 3.618 0.000
0.000 0.000 2.706
ATOMIC_POSITIONS crystal
Mn 0.000 0.000 0.000
Ni 0.667 0.333 0.186
Pd 0.333 0.667 0.609

=====

No. 14
! LaCl, relaxed, DFT PBE; values from VASP
! - symmetry = I4_1/amd (141)
! - formation energy from raw total energies (meV per atom) = -1283
&SYSTEM
  ibrav = 0, nat = 8, ntyp = 2
/
ATOMIC_SPECIES
La 138.91 La.upf
Cl 35.45 Cl.upf
CELL_PARAMETERS angstrom
4.094 0.000 0.000
0.000 4.094 0.000
0.000 0.000 14.105
ATOMIC_POSITIONS crystal
La 0.000 0.250 0.375
La 0.000 0.750 0.625
La 0.500 0.250 0.125
La 0.500 0.750 0.875
Cl 0.000 0.250 0.875
Cl 0.000 0.750 0.125
Cl 0.500 0.250 0.625
Cl 0.500 0.750 0.375

=====

No. 15
! SbSe, relaxed, DFT PBE; values from VASP
! - symmetry = P2_1/m (11)
! - formation energy from raw total energies (meV per atom) = -54
&SYSTEM
  ibrav = 0, nat = 4, ntyp = 2
/
ATOMIC_SPECIES
Sb 121.76 Sb.upf
Se 78.96 Se.upf
CELL_PARAMETERS angstrom
3.748 0.000 0.000
0.000 4.667 0.000
-0.839 0.000 6.047
ATOMIC_POSITIONS crystal
Sb 0.207 0.250 0.254
Sb 0.793 0.750 0.746
Se 0.287 0.250 0.718
Se 0.713 0.750 0.282

=====

No. 16
! VCuSe2, relaxed, DFT PBE; values from VASP
! - symmetry = R-3m (166)
! - formation energy from raw total energies (meV per atom) = -342
&SYSTEM
  ibrav = 0, nat = 12, ntyp = 3
/
ATOMIC_SPECIES
V 50.94 V.upf
Cu 63.55 Cu.upf
Se 78.96 Se.upf
CELL_PARAMETERS angstrom
3.359 0.000 0.000
-1.680 2.909 0.000
0.000 0.000 23.219
ATOMIC_POSITIONS crystal
V 0.000 0.000 0.000
V 0.333 0.667 0.667
V 0.667 0.333 0.333
Cu 0.000 0.000 0.500
Cu 0.333 0.667 0.167
Cu 0.667 0.333 0.833
Se 0.000 0.000 0.401
Se 0.000 0.000 0.599
Se 0.333 0.667 0.067
Se 0.333 0.667 0.266
Se 0.667 0.333 0.734
Se 0.667 0.333 0.933

=====

No. 17
! TaInNi2, relaxed, DFT PBE; values from VASP
! - symmetry = P4/mmm (123)
! - DFT formation energy (eV per atom) = -0.043
&SYSTEM
  ibrav = 0, nat = 4, ntyp = 3
/
ATOMIC_SPECIES
Ta 180.95 Ta.upf
In 114.82 In.upf
Ni 58.69 Ni.upf
CELL_PARAMETERS angstrom
4.570 0.000 0.000
0.000 4.570 0.000
0.000 0.000 2.873
ATOMIC_POSITIONS crystal
Ta 0.000 0.000 0.000
In 0.500 0.500 0.000
Ni 0.000 0.500 0.500
Ni 0.500 0.000 0.500

=====

No. 18
! TbScPdPt, relaxed, DFT PBE; values from VASP
! - symmetry = F-43m (216)
! - ΔE to the lowest computed polymorph (meV per atom) = 14
! - DFT formation energy (eV per atom) = -1.031
&SYSTEM
  ibrav = 0, nat = 16, ntyp = 4
/
ATOMIC_SPECIES
Tb 158.93 Tb.upf
Sc 44.96 Sc.upf
Pd 106.42 Pd.upf
Pt 195.08 Pt.upf
CELL_PARAMETERS angstrom
6.835 0.000 0.000
0.000 6.835 0.000
0.000 0.000 6.835
ATOMIC_POSITIONS crystal
Tb 0.000 0.000 0.000
Tb 0.000 0.500 0.500
Tb 0.500 0.000 0.500
Tb 0.500 0.500 0.000
Sc 0.000 0.000 0.500
Sc 0.000 0.500 0.000
Sc 0.500 0.000 0.000
Sc 0.500 0.500 0.500
Pd 0.250 0.250 0.750
Pd 0.250 0.750 0.250
Pd 0.750 0.250 0.250
Pd 0.750 0.750 0.750
Pt 0.250 0.250 0.250
Pt 0.250 0.750 0.750
Pt 0.750 0.250 0.750
Pt 0.750 0.750 0.250

=====

No. 19
! YW2Se, relaxed, DFT PBE; values from VASP
! - symmetry = Cm (8)
! - formation energy from raw total energies (meV per atom) = 235
&SYSTEM
  ibrav = 0, nat = 8, ntyp = 3
/
ATOMIC_SPECIES
Y 88.91 Y.upf
W 183.84 W.upf
Se 78.96 Se.upf
CELL_PARAMETERS angstrom
8.739 0.000 0.000
0.000 3.364 0.000
-1.374 0.000 5.672
ATOMIC_POSITIONS crystal
Y 0.000 0.000 0.000
Y 0.500 0.500 0.000
W 0.260 0.500 0.359
W 0.487 0.000 0.493
W 0.760 0.000 0.359
W 0.987 0.500 0.493
Se 0.232 0.000 0.705
Se 0.732 0.500 0.705

=====

No. 20
! Pr5MgIn2, relaxed, DFT PBE; values from VASP
! - symmetry = I4/mmm (139)
! - DFT formation energy (eV per atom) = -0.273
&SYSTEM
  ibrav = 0, nat = 16, ntyp = 3
/
ATOMIC_SPECIES
Pr 140.91 Pr.upf
Mg 24.30 Mg.upf
In 114.82 In.upf
CELL_PARAMETERS angstrom
7.188 0.000 0.000
0.000 7.188 0.000
0.000 0.000 9.491
ATOMIC_POSITIONS crystal
Pr 0.000 0.000 0.000
Pr 0.250 0.250 0.250
Pr 0.250 0.250 0.750
Pr 0.250 0.750 0.250
Pr 0.250 0.750 0.750
Pr 0.500 0.500 0.500
Pr 0.750 0.250 0.250
Pr 0.750 0.250 0.750
Pr 0.750 0.750 0.250
Pr 0.750 0.750 0.750
Mg 0.000 0.000 0.500
Mg 0.500 0.500 0.000
In 0.000 0.500 0.000
In 0.000 0.500 0.500
In 0.500 0.000 0.000
In 0.500 0.000 0.500

=====

No. 21
! Li2Ag2H, relaxed, DFT PBE; values from VASP
! - symmetry = P4/mbm (127)
! - ΔE to the lowest computed polymorph (meV per atom) = 49
&SYSTEM
  ibrav = 0, nat = 10, ntyp = 3
/
ATOMIC_SPECIES
Li 6.94 Li.upf
Ag 107.87 Ag.upf
H 1.01 H.upf
CELL_PARAMETERS angstrom
5.612 0.000 0.000
0.000 5.612 0.000
0.000 0.000 4.691
ATOMIC_POSITIONS crystal
Li 0.165 0.335 0.000
Li 0.335 0.835 0.000
Li 0.665 0.165 0.000
Li 0.835 0.665 0.000
Ag 0.174 0.674 0.500
Ag 0.326 0.174 0.500
Ag 0.674 0.826 0.500
Ag 0.826 0.326 0.500
H 0.000 0.000 0.500
H 0.500 0.500 0.500

=====

No. 22
! Nd8As3Se4O, relaxed, DFT PBE; values from VASP
! - symmetry = R-3m (166)
! - formation energy from raw total energies (meV per atom) = -1794
&SYSTEM
  ibrav = 0, nat = 16, ntyp = 4
/
ATOMIC_SPECIES
Nd 144.24 Nd.upf
As 74.92 As.upf
Se 78.96 Se.upf
O 16.00 O.upf
CELL_PARAMETERS angstrom
4.159 2.401 6.920
-4.159 2.401 6.920
0.000 -4.802 6.920
ATOMIC_POSITIONS crystal
Nd 0.247 0.247 0.247
Nd 0.260 0.733 0.733
Nd 0.267 0.267 0.740
Nd 0.267 0.740 0.267
Nd 0.733 0.260 0.733
Nd 0.733 0.733 0.260
Nd 0.740 0.267 0.267
Nd 0.753 0.753 0.753
As 0.000 0.000 0.500
As 0.000 0.500 0.000
As 0.500 0.000 0.000
Se 0.000 0.000 0.000
Se 0.000 0.500 0.500
Se 0.500 0.000 0.500
Se 0.500 0.500 0.000
O 0.500 0.500 0.500

=====

No. 23
! PuTlSCl, relaxed, DFT PBE; values from VASP
! - symmetry = R3m (160)
! - formation energy from raw total energies (meV per atom) = -1240
&SYSTEM
  ibrav = 0, nat = 12, ntyp = 4
/
ATOMIC_SPECIES
Pu 244.00 Pu.upf
Tl 204.38 Tl.upf
S 32.06 S.upf
Cl 35.45 Cl.upf
CELL_PARAMETERS angstrom
4.099 0.000 0.000
-2.049 3.550 0.000
0.000 0.000 24.155
ATOMIC_POSITIONS crystal
Pu 0.000 0.000 0.000
Pu 0.333 0.667 0.667
Pu 0.667 0.333 0.333
Tl 0.000 0.000 0.193
Tl 0.333 0.667 0.860
Tl 0.667 0.333 0.526
S 0.000 0.000 0.609
S 0.333 0.667 0.276
S 0.667 0.333 0.943
Cl 0.000 0.000 0.404
Cl 0.333 0.667 0.070
Cl 0.667 0.333 0.737

=====

No. 24
! AcTb3Sn2, relaxed, DFT PBE; values from VASP
! - symmetry = C2/m (12)
! - DFT formation energy (eV per atom) = -0.489
&SYSTEM
  ibrav = 0, nat = 12, ntyp = 3
/
ATOMIC_SPECIES
Ac 227.00 Ac.upf
Tb 158.93 Tb.upf
Sn 118.71 Sn.upf
CELL_PARAMETERS angstrom
9.261 -2.387 0.000
9.261 2.387 0.000
-3.759 0.000 8.722
ATOMIC_POSITIONS crystal
Ac 0.117 0.117 0.146
Ac 0.883 0.883 0.854
Tb 0.058 0.058 0.692
Tb 0.307 0.307 0.114
Tb 0.359 0.359 0.517
Tb 0.641 0.641 0.483
Tb 0.693 0.693 0.886
Tb 0.942 0.942 0.308
Sn 0.236 0.236 0.702
Sn 0.486 0.486 0.148
Sn 0.514 0.514 0.852
Sn 0.764 0.764 0.298

=====

No. 25
! SmPb4, relaxed, DFT PBE; values from VASP
! - symmetry = Pm-3m (221)
! - DFT formation energy (eV per atom) = 0.463
&SYSTEM
  ibrav = 0, nat = 5, ntyp = 2
/
ATOMIC_SPECIES
Sm 150.36 Sm.upf
Pb 207.20 Pb.upf
CELL_PARAMETERS angstrom
5.927 0.000 0.000
0.000 5.927 0.000
0.000 0.000 5.927
ATOMIC_POSITIONS crystal
Sm 0.000 0.000 0.000
Pb 0.000 0.000 0.500
Pb 0.000 0.500 0.000
Pb 0.500 0.000 0.000
Pb 0.500 0.500 0.500